# Pm3Y2Pd4 (PBE, relaxed)
# - DFT formation energy (eV per atom) = -0.6026
# - magnetic moment (Bohr magnetons per cell) = 0.00
# - E (eV per atom) = -5.930
data_Pm3Y2Pd4
_chemical_formula_sum 'Pm6 Y4 Pd8'
_space_group_name_H-M_alt 'P 1'
_space_group_IT_number 1
_cell_length_a 7.4993
_cell_length_b 8.0022
_cell_length_c 8.6288
_cell_angle_alpha 90.00
_cell_angle_beta 115.76
_cell_angle_gamma 90.00
loop_
_space_group_symop_operation_xyz
'x,y,z'
loop_
_atom_site_label
_atom_site_fract_x
_atom_site_fract_y
_atom_site_fract_z
_atom_site_occupancy
Pm1 0.0000 0.0000 0.0000 1
Pm2 0.5000 0.5000 0.0000 1
Pm3 0.5437 0.7500 0.5875 1
Pm4 0.9563 0.2500 0.4125 1
Pm5 0.4563 0.2500 0.4125 1
Pm6 0.0437 0.7500 0.5875 1
Y1 0.1027 0.5965 0.2053 1
Y2 0.8973 0.4035 0.7947 1
Y3 0.3973 0.0965 0.7947 1
Y4 0.6027 0.9035 0.2053 1
Pd1 0.7287 0.7500 0.9575 1
Pd2 0.7713 0.2500 0.0425 1
Pd3 0.2713 0.2500 0.0425 1
Pd4 0.2287 0.7500 0.9575 1
Pd5 0.1995 0.9556 0.3990 1
Pd6 0.8005 0.0444 0.6010 1
Pd7 0.3005 0.4556 0.6010 1
Pd8 0.6995 0.5444 0.3990 1

# CsCuPb2F8 (PBE, relaxed)
# - E_form (uncorrected) (eV/atom) = -2.137
# - magnetic moment (Bohr magnetons per cell) = 0.22
# - E (eV per atom) = -4.415
data_CsCuPb2F8
_chemical_formula_sum 'Cs1 Cu1 Pb2 F8'
_space_group_name_H-M_alt 'P 1'
_space_group_IT_number 1
_cell_length_a 4.6674
_cell_length_b 6.2884
_cell_length_c 8.2047
_cell_angle_alpha 85.58
_cell_angle_beta 77.60
_cell_angle_gamma 89.41
loop_
_space_group_symop_operation_xyz
'x,y,z'
loop_
_atom_site_label
_atom_site_fract_x
_atom_site_fract_y
_atom_site_fract_z
_atom_site_occupancy
Cs1 0.0000 0.0000 0.5000 1
Cu1 0.0000 0.0000 0.0000 1
Pb1 0.4005 0.4989 0.7427 1
Pb2 0.5995 0.5011 0.2573 1
F1 0.0866 0.5681 0.2689 1
F2 0.7095 0.7950 0.0440 1
F3 0.7986 0.1465 0.1737 1
F4 0.9134 0.4319 0.7311 1
F5 0.2905 0.2050 0.9560 1
F6 0.2014 0.8535 0.8263 1
F7 0.5121 0.7150 0.4819 1
F8 0.4879 0.2850 0.5181 1

What is the magnetic moment in the first record? 0.00 Bohr magnetons per cell